Entry 1:
VASP calculation (PBE) on crystalline Cs2SrMo at its relaxed geometry.

Cell and atoms, written as POSCAR:
```
Cs2SrMo
1.0
0.000 4.913 4.913
4.913 0.000 4.913
4.913 4.913 0.000
Cs Sr Mo
2 1 1
Direct
0.250 0.250 0.250 Cs
0.750 0.750 0.750 Cs
0.000 0.000 0.000 Sr
0.500 0.500 0.500 Mo
```

## Properties
- VASP energy: -2.218 eV per atom
- Formation enthalpy at 0 K: 5.346 eV per formula unit
- Size of the total moment: 4.58 μB/cell
- V: 237.2 Å³/f.u.

***

Entry 2:
VASP calculation (PBE) on crystalline CsSr3Mo at its relaxed geometry.

Cell and atoms, written as POSCAR:
```
CsSr3Mo
1.0
5.983 0.000 0.000
0.000 5.983 0.000
0.000 0.000 5.983
Cs Sr Mo
1 3 1
Direct
0.000 0.000 0.000 Cs
0.000 0.000 0.500 Sr
0.000 0.500 0.000 Sr
0.500 0.000 0.000 Sr
0.500 0.500 0.500 Mo
```

## Properties
- VASP energy: -1.576 eV per atom
- Formation enthalpy at 0 K: 8.849 eV per formula unit
- Size of the total moment: 2.44 μB/cell
- V: 214.1 Å³/f.u.

***

Entry 3:
VASP calculation (PBE) on crystalline CsTa2Mo at its relaxed geometry.

Cell and atoms, written as POSCAR:
```
CsTa2Mo
1.0
0.000 3.439 3.439
3.439 0.000 3.439
3.439 3.439 0.000
Cs Ta Mo
1 2 1
Direct
0.000 0.000 0.000 Cs
0.250 0.250 0.250 Ta
0.750 0.750 0.750 Ta
0.500 0.500 0.500 Mo
```

## Properties
- VASP energy: -7.084 eV per atom
- Formation enthalpy at 0 K: 7.053 eV per formula unit
- Excess energy over the best structure of this formula in the dataset: 0 meV/atom
- Size of the total moment: 0.00 μB/cell
- V: 81.3 Å³/f.u.

***

Entry 4:
VASP calculation (PBE) on crystalline CsTaMo3 at its relaxed geometry.

Cell and atoms, written as POSCAR:
```
CsTaMo3
1.0
5.065 0.000 0.000
0.000 5.065 0.000
0.000 0.000 5.065
Cs Ta Mo
1 1 3
Direct
0.000 0.000 0.000 Cs
0.500 0.500 0.500 Ta
0.000 0.500 0.500 Mo
0.500 0.000 0.500 Mo
0.500 0.500 0.000 Mo
```

## Properties
- VASP energy: -6.927 eV per atom
- Formation enthalpy at 0 K: 10.564 eV per formula unit
- Excess energy over the best structure of this formula in the dataset: 0 meV/atom
- Size of the total moment: 4.54 μB/cell
- V: 130.0 Å³/f.u.